Entry from Alexandria via LeMat-Bulk: a geometry-optimized La2PmHo3Te6 structure (PBE).

Lattice parameters (Å, degrees): 9.977 9.977 8.971 104.47 104.47 25.47
Fractional positions:
La 0.166 0.166 0.330
La 0.834 0.834 0.670
Pm 0.500 0.500 0.000
Ho 0.168 0.168 0.833
Ho 0.500 0.500 0.500
Ho 0.832 0.832 0.167
Te 0.005 0.005 0.745
Te 0.332 0.332 0.930
Te 0.337 0.337 0.408
Te 0.663 0.663 0.592
Te 0.668 0.668 0.070
Te 0.995 0.995 0.255

Values from the calculation:
- N(E_F): 6.6 states/eV/f.u.
- Total moment: 0.0 μB per formula unit
- Uncorrected formation energy: -1.40 eV/atom



Entry from Alexandria via LeMat-Bulk: a geometry-optimized Pm6Sm3HoTm2 structure (PBE).

Lattice parameters (Å, degrees): 6.258 6.258 11.897 95.02 95.02 120.00
Fractional positions:
Pm 0.084 0.417 0.754
Pm 0.249 0.249 0.246
Pm 0.417 0.084 0.754
Pm 0.583 0.916 0.246
Pm 0.751 0.751 0.754
Pm 0.916 0.583 0.246
Sm 0.000 0.000 0.500
Sm 0.333 0.667 0.500
Sm 0.667 0.333 0.500
Ho 0.500 0.500 0.000
Tm 0.167 0.833 0.000
Tm 0.833 0.167 0.000

Values from the calculation:
- ΔH_f (0 K): 16 meV/atom
- N(E_F): 14.9 states/eV/f.u.
- Total moment: 0.0 μB per formula unit



Entry from Alexandria via LeMat-Bulk: a geometry-optimized Nb5InGe structure (PBE).

Lattice parameters (Å, degrees): 5.327 5.327 9.904 99.43 99.43 100.73
Fractional positions:
Nb 0.099 0.278 0.044
Nb 0.130 0.870 0.750
Nb 0.278 0.099 0.544
Nb 0.348 0.455 0.852
Nb 0.455 0.348 0.352
Nb 0.545 0.652 0.648
Nb 0.652 0.545 0.148
Nb 0.722 0.901 0.456
Nb 0.870 0.130 0.250
Nb 0.901 0.722 0.956
In 0.225 0.775 0.250
In 0.775 0.225 0.750
Ge 0.000 0.500 0.500
Ge 0.500 0.000 0.000

Values from the calculation:
- ΔH_f (0 K): 87 meV/atom
- N(E_F): 6.1 states/eV/f.u.
- Total moment: 0.0 μB per formula unit



Entry from Alexandria via LeMat-Bulk: a geometry-optimized BaNiW structure (PBE).

Lattice parameters (Å, degrees): 4.780 4.780 4.780 60.00 60.00 60.00
Fractional positions:
Ba 0.000 0.000 0.000
Ni 0.250 0.250 0.250
W 0.500 0.500 0.500

Values from the calculation:
- ΔH_f (0 K): 1589 meV/atom
- N(E_F): 3.3 states/eV/f.u.
- Total moment: 3.6 μB per formula unit



Entry from Alexandria via LeMat-Bulk: a geometry-optimized BaDy structure (PBE).

Lattice parameters (Å, degrees): 3.865 3.865 6.462 90.00 90.00 120.00
Fractional positions:
Ba 0.000 0.000 0.000
Dy 0.667 0.333 0.500

Values from the calculation:
- ΔH_f (0 K): 314 meV/atom
- N(E_F): 3.3 states/eV/f.u.
- Total moment: 0.2 μB per formula unit



Entry from Alexandria via LeMat-Bulk: a geometry-optimized SrAl4Ga2 structure (PBE).

Lattice parameters (Å, degrees): 7.976 7.976 4.282 90.00 90.00 148.88
Fractional positions:
Sr 0.000 0.000 0.000
Al 0.186 0.814 0.500
Al 0.309 0.691 0.000
Al 0.691 0.309 0.000
Al 0.814 0.186 0.500
Ga 0.415 0.585 0.500
Ga 0.585 0.415 0.500

Values from the calculation:
- ΔH_f (0 K): -207 meV/atom
- N(E_F): 2.6 states/eV/f.u.
- Total moment: 0.0 μB per formula unit



What did the sixth record say?
Entry from Alexandria via LeMat-Bulk: a geometry-optimized SrAl4Ga2 structure (PBE).

Lattice parameters (Å, degrees): 7.976 7.976 4.282 90.00 90.00 148.88
Fractional positions:
Sr 0.000 0.000 0.000
Al 0.186 0.814 0.500
Al 0.309 0.691 0.000
Al 0.691 0.309 0.000
Al 0.814 0.186 0.500
Ga 0.415 0.585 0.500
Ga 0.585 0.415 0.500

Values from the calculation:
- ΔH_f (0 K): -207 meV/atom
- N(E_F): 2.6 states/eV/f.u.
- Total moment: 0.0 μB per formula unit